Here is a relaxed structure of SiPW2 from Alexandria via LeMat-Bulk. Energies are from PBE-GGA.

```
SiPW2
1.0
-1.585 2.413 3.866
1.585 -2.413 3.866
1.585 2.413 -3.866
Si P W
1 1 2
Cartesian
0.000 0.000 0.000
0.000 0.000 3.866
1.585 0.000 2.103
0.000 2.413 1.764
```

Computed properties:
The total energy is -8.92 eV per atom. The value obtained for the magnetization is 0.0 μB/f.u. The formation energy (no corrections) comes out at 0.2612 eV/atom. The distance to the lowest polymorph of the same formula comes out at 540 meV per atom.

Here is a relaxed structure of SiPW2 from Alexandria via LeMat-Bulk. Energies are from PBE-GGA.

```
SiPW2
1.0
1.488 0.859 7.824
-1.488 0.859 7.824
0.000 -1.719 7.824
Si P W
1 1 2
Cartesian
0.000 0.000 0.000
0.000 0.000 17.536
0.000 0.000 5.870
0.000 0.000 11.480
```

Computed properties:
The total energy is -9.11 eV per atom. The value obtained for the magnetization is 0.0 μB/f.u. The formation energy (no corrections) comes out at 0.0716 eV/atom. The distance to the lowest polymorph of the same formula comes out at 351 meV per atom.

Here is a relaxed structure of SiPW from Alexandria via LeMat-Bulk. Energies are from PBE-GGA.

```
SiPW
1.0
3.389 0.000 0.000
0.000 3.389 0.000
0.000 0.000 7.561
Si P W
2 2 2
Cartesian
0.847 2.542 0.000
2.542 0.847 0.000
0.847 0.847 2.970
2.542 2.542 4.591
0.847 0.847 5.613
2.542 2.542 1.948
```

Computed properties:
The total energy is -8.09 eV per atom. The value obtained for the magnetization is 0.0 μB/f.u. The formation energy (no corrections) comes out at -0.1639 eV/atom. The distance to the lowest polymorph of the same formula comes out at 0 meV per atom.

Here is a relaxed structure of SiPW2 from Alexandria via LeMat-Bulk. Energies are from PBE-GGA.

```
SiPW2
1.0
4.133 -1.468 0.000
4.133 1.468 0.000
-1.195 0.000 4.848
Si P W
1 1 2
Cartesian
0.000 0.000 0.000
3.535 0.000 2.424
1.016 0.000 3.587
6.054 0.000 1.261
```

Computed properties:
The total energy is -9.03 eV per atom. The value obtained for the magnetization is 0.0 μB/f.u. The formation energy (no corrections) comes out at 0.1554 eV/atom. The distance to the lowest polymorph of the same formula comes out at 435 meV per atom.

Here is a relaxed structure of SiPW2 from Alexandria via LeMat-Bulk. Energies are from PBE-GGA.

```
SiPW2
1.0
1.622 -2.392 0.000
1.622 2.392 0.000
0.000 0.000 7.584
Si P W
1 1 2
Cartesian
0.000 0.000 0.000
0.000 0.000 3.792
1.622 0.000 1.978
1.622 0.000 5.606
```

Computed properties:
The total energy is -8.88 eV per atom. The value obtained for the magnetization is 0.0 μB/f.u. The formation energy (no corrections) comes out at 0.3000 eV/atom. The distance to the lowest polymorph of the same formula comes out at 579 meV per atom.

Here is a relaxed structure of SiPW from Alexandria via LeMat-Bulk. Energies are from PBE-GGA.

```
SiPW
1.0
4.306 0.000 0.000
-2.153 3.729 0.000
0.000 0.000 2.724
Si P W
1 1 1
Cartesian
0.000 0.000 0.000
0.000 2.486 1.362
2.153 1.243 1.362
```

Computed properties:
The total energy is -7.71 eV per atom. The value obtained for the magnetization is 0.0 μB/f.u. The formation energy (no corrections) comes out at 0.2231 eV/atom. The distance to the lowest polymorph of the same formula comes out at 387 meV per atom.

Here is a relaxed structure of SiPW from Alexandria via LeMat-Bulk. Energies are from PBE-GGA.

```
SiPW
1.0
0.000 2.889 2.889
2.889 0.000 2.889
2.889 2.889 0.000
Si P W
1 1 1
Cartesian
0.000 0.000 0.000
4.333 4.333 4.333
1.444 1.444 1.444
```

Computed properties:
The total energy is -7.20 eV per atom. The value obtained for the magnetization is 0.0 μB/f.u. The formation energy (no corrections) comes out at 0.7256 eV/atom. The distance to the lowest polymorph of the same formula comes out at 890 meV per atom.

Here is a relaxed structure of SiP2W from Alexandria via LeMat-Bulk. Energies are from PBE-GGA.

```
SiP2W
1.0
4.240 0.000 0.000
0.000 1.654 4.254
0.000 -1.654 4.254
Si P W
1 2 1
Cartesian
0.000 0.000 0.000
0.000 0.000 6.194
2.120 0.000 2.547
2.120 0.000 4.958
```

Computed properties:
The total energy is -7.26 eV per atom. The value obtained for the magnetization is 0.0 μB/f.u. The formation energy (no corrections) comes out at 0.0372 eV/atom.

Here is a relaxed structure of SiPW from Alexandria via LeMat-Bulk. Energies are from PBE-GGA.

```
SiPW
1.0
0.000 2.941 2.941
2.941 0.000 2.941
2.941 2.941 0.000
Si P W
1 1 1
Cartesian
0.000 0.000 0.000
2.941 2.941 2.941
1.471 1.471 1.471
```

Computed properties:
The total energy is -7.43 eV per atom. The value obtained for the magnetization is 0.3 μB/f.u. The formation energy (no corrections) comes out at 0.4999 eV/atom. The distance to the lowest polymorph of the same formula comes out at 664 meV per atom.

Here is a relaxed structure of SiP2W from Alexandria via LeMat-Bulk. Energies are from PBE-GGA.

```
SiP2W
1.0
2.636 -3.373 0.000
2.636 3.373 0.000
0.000 0.000 3.108
Si P W
1 2 1
Cartesian
0.000 0.000 0.000
1.318 1.686 1.554
1.318 -1.686 1.554
2.636 0.000 0.000
```

Computed properties:
The total energy is -6.94 eV per atom. The value obtained for the magnetization is 0.0 μB/f.u. The formation energy (no corrections) comes out at 0.3554 eV/atom.

Here is a relaxed structure of SiP2W from Alexandria via LeMat-Bulk. Energies are from PBE-GGA.

```
SiP2W
1.0
-1.645 2.248 3.739
1.645 -2.248 3.739
1.645 2.248 -3.739
Si P W
1 2 1
Cartesian
0.000 0.000 0.000
1.645 0.000 1.617
0.000 2.248 2.122
0.000 0.000 3.739
```

Computed properties:
The total energy is -7.07 eV per atom. The value obtained for the magnetization is 0.0 μB/f.u. The formation energy (no corrections) comes out at 0.2266 eV/atom.

Here is a relaxed structure of SiP3W from Alexandria via LeMat-Bulk. Energies are from PBE-GGA.

```
SiP3W
1.0
4.380 0.000 0.000
0.000 4.380 0.000
0.000 0.000 4.380
Si P W
1 3 1
Cartesian
0.000 0.000 0.000
0.000 0.000 2.190
0.000 2.190 0.000
2.190 0.000 0.000
2.190 2.190 2.190
```

Computed properties:
The total energy is -5.65 eV per atom. The value obtained for the magnetization is 0.0 μB/f.u. The formation energy (no corrections) comes out at 1.2743 eV/atom. The distance to the lowest polymorph of the same formula comes out at 425 meV per atom.